--- a ---
Material: K3Fe2O4
Method: DFT, PBE with a Hubbard U
State: relaxed

Magnetization in μB/cell: 18.0
Calculated volume in Å³/cell: 308
Crystal system: monoclinic

The structure in CIF format:
```
data_K3Fe2O4
_symmetry_space_group_name_H-M 'P 1'
_symmetry_Int_Tables_number 1
_cell_length_a 5.862
_cell_length_b 7.412
_cell_length_c 7.412
_cell_angle_alpha 73.33
_cell_angle_beta 88.02
_cell_angle_gamma 88.02
loop_
_symmetry_equiv_pos_as_xyz
'x,y,z'
loop_
_atom_site_label
_atom_site_type_symbol
_atom_site_fract_x
_atom_site_fract_y
_atom_site_fract_z
_atom_site_occupancy
O1 O 0.392 0.616 0.738 1
O2 O 0.608 0.384 0.262 1
O3 O 0.892 0.738 0.616 1
O4 O 0.018 0.676 0.062 1
O5 O 0.982 0.324 0.938 1
O6 O 0.518 0.062 0.676 1
O7 O 0.482 0.938 0.324 1
O8 O 0.108 0.262 0.384 1
K1 K 0.250 0.598 0.402 1
K2 K 0.040 0.032 0.747 1
K3 K 0.460 0.253 0.968 1
K4 K 0.750 0.402 0.598 1
K5 K 0.540 0.747 0.032 1
K6 K 0.960 0.968 0.253 1
Fe1 Fe 0.073 0.595 0.829 1
Fe2 Fe 0.927 0.405 0.171 1
Fe3 Fe 0.427 0.171 0.405 1
Fe4 Fe 0.573 0.829 0.595 1
```



--- b ---
Material: K3Fe2O4
Method: DFT, PBE with a Hubbard U
State: relaxed

Magnetization in μB/cell: 18.0
Calculated volume in Å³/cell: 301
Crystal system: orthorhombic
Fermi-level density of states in states/eV per cell: 3.4

The structure in CIF format:
```
data_K3Fe2O4
_symmetry_space_group_name_H-M 'P 1'
_symmetry_Int_Tables_number 1
_cell_length_a 10.347
_cell_length_b 9.101
_cell_length_c 6.534
_cell_angle_alpha 81.08
_cell_angle_beta 60.33
_cell_angle_gamma 38.60
loop_
_symmetry_equiv_pos_as_xyz
'x,y,z'
loop_
_atom_site_label
_atom_site_type_symbol
_atom_site_fract_x
_atom_site_fract_y
_atom_site_fract_z
_atom_site_occupancy
Fe1 Fe 0.808 0.808 0.192 1
Fe2 Fe 0.192 0.192 0.808 1
Fe3 Fe 0.442 0.442 0.058 1
Fe4 Fe 0.058 0.058 0.442 1
O1 O 0.568 0.932 0.568 1
O2 O 0.318 0.682 0.318 1
O3 O 0.932 0.568 0.932 1
O4 O 0.125 0.625 0.125 1
O5 O 0.125 0.125 0.125 1
O6 O 0.125 0.125 0.625 1
O7 O 0.625 0.125 0.125 1
O8 O 0.682 0.318 0.682 1
K1 K 0.250 0.250 0.250 1
K2 K 0.641 0.641 0.859 1
K3 K 0.859 0.859 0.641 1
K4 K 0.391 0.391 0.609 1
K5 K 0.000 0.000 0.000 1
K6 K 0.609 0.609 0.391 1
```



Most stable structure: a



--- a ---
Material: KFePO2
Method: DFT, PBE with a Hubbard U
State: relaxed

Magnetization in μB/cell: 2.9
Calculated volume in Å³/cell: 78
Crystal system: tetragonal
Fermi-level density of states in states/eV per cell: 3.1

The structure in CIF format:
```
data_KFePO2
_symmetry_space_group_name_H-M 'P 1'
_symmetry_Int_Tables_number 1
_cell_length_a 4.095
_cell_length_b 4.095
_cell_length_c 4.678
_cell_angle_alpha 90.00
_cell_angle_beta 90.00
_cell_angle_gamma 90.00
loop_
_symmetry_equiv_pos_as_xyz
'x,y,z'
loop_
_atom_site_label
_atom_site_type_symbol
_atom_site_fract_x
_atom_site_fract_y
_atom_site_fract_z
_atom_site_occupancy
Fe1 Fe 0.000 0.000 0.000 1
O1 O 0.000 0.500 0.000 1
O2 O 0.500 0.000 0.000 1
P1 P 0.000 0.000 0.500 1
K1 K 0.500 0.500 0.500 1
```



--- b ---
Material: KFePO2
Method: DFT, PBE with a Hubbard U
State: relaxed

Magnetization in μB/cell: 8.0
Calculated volume in Å³/cell: 121
Crystal system: tetragonal
Fermi-level density of states in states/eV per cell: 6.5

The structure in CIF format:
```
data_KFePO2
_symmetry_space_group_name_H-M 'P 1'
_symmetry_Int_Tables_number 1
_cell_length_a 4.483
_cell_length_b 4.483
_cell_length_c 6.038
_cell_angle_alpha 90.00
_cell_angle_beta 90.00
_cell_angle_gamma 90.00
loop_
_symmetry_equiv_pos_as_xyz
'x,y,z'
loop_
_atom_site_label
_atom_site_type_symbol
_atom_site_fract_x
_atom_site_fract_y
_atom_site_fract_z
_atom_site_occupancy
K1 K 0.000 0.000 0.000 1
O1 O 0.000 0.500 0.000 1
O2 O 0.500 0.000 0.000 1
Fe1 Fe 0.500 0.500 0.500 1
P1 P 0.000 0.000 0.500 1
```



Most stable structure: a